Entry from the Alexandria database: crystalline Nb2IrRh7 at its relaxed geometry (PBE).

Properties
The energy of formation comes out at 0.43 eV per atom.

a = 7.990 Å, b = 7.990 Å, c = 3.527 Å
α = 90.00°, β = 90.00°, γ = 126.25°
Element x y z (fractional)
Nb (0.186, 0.814, 0.000)
Nb (0.814, 0.186, 0.000)
Ir (0.500, 0.500, 0.500)
Rh (0.000, 0.000, 0.000)
Rh (0.212, 0.402, 0.000)
Rh (0.307, 0.693, 0.500)
Rh (0.402, 0.212, 0.000)
Rh (0.598, 0.788, 0.000)
Rh (0.693, 0.307, 0.500)
Rh (0.788, 0.598, 0.000)

Entry from the Alexandria database: crystalline NbIr2Rh at its relaxed geometry (PBE).

Properties
The energy of formation comes out at -0.57 eV per atom.

a = 3.924 Å, b = 3.924 Å, c = 3.917 Å
α = 90.00°, β = 90.00°, γ = 90.00°
Element x y z (fractional)
Nb (0.000, 0.000, 0.000)
Ir (0.000, 0.500, 0.500)
Ir (0.500, 0.000, 0.500)
Rh (0.500, 0.500, 0.000)

Entry from the Alexandria database: crystalline Nb2IrRh at its relaxed geometry (PBE).

Properties
The energy of formation comes out at 0.07 eV per atom.

a = 5.747 Å, b = 5.747 Å, c = 5.747 Å
α = 103.53°, β = 103.53°, γ = 122.15°
Element x y z (fractional)
Nb (0.124, 0.125, 0.499)
Nb (0.375, 0.876, 0.001)
Nb (0.626, 0.625, 0.501)
Nb (0.875, 0.374, 0.999)
Ir (0.000, 0.000, 0.000)
Ir (0.750, 0.250, 0.500)
Rh (0.250, 0.750, 0.500)
Rh (0.500, 0.500, 0.000)

Entry from the Alexandria database: crystalline NbIr2Rh at its relaxed geometry (PBE).

Properties
The energy of formation comes out at -0.04 eV per atom.

a = 4.451 Å, b = 4.451 Å, c = 4.451 Å
α = 60.00°, β = 60.00°, γ = 60.00°
Element x y z (fractional)
Nb (0.000, 0.000, 0.000)
Ir (0.250, 0.250, 0.250)
Ir (0.750, 0.750, 0.750)
Rh (0.500, 0.500, 0.500)

Entry from the Alexandria database: crystalline Nb5IrRh4 at its relaxed geometry (PBE).

Properties
The energy of formation comes out at -0.43 eV per atom.

a = 2.888 Å, b = 2.888 Å, c = 19.249 Å
α = 90.00°, β = 90.00°, γ = 90.00°
Element x y z (fractional)
Nb (0.000, 0.000, 0.000)
Nb (0.000, 0.000, 0.200)
Nb (0.000, 0.000, 0.400)
Nb (0.000, 0.000, 0.600)
Nb (0.000, 0.000, 0.800)
Ir (0.500, 0.500, 0.500)
Rh (0.500, 0.500, 0.100)
Rh (0.500, 0.500, 0.299)
Rh (0.500, 0.500, 0.701)
Rh (0.500, 0.500, 0.900)

Entry from the Alexandria database: crystalline NbIr2Rh8 at its relaxed geometry (PBE).

Properties
The energy of formation comes out at 0.06 eV per atom.

a = 6.465 Å, b = 6.465 Å, c = 4.196 Å
α = 90.00°, β = 90.00°, γ = 103.30°
Element x y z (fractional)
Nb (0.000, 0.000, 0.000)
Ir (0.377, 0.623, 0.500)
Ir (0.623, 0.377, 0.500)
Rh (0.032, 0.299, 0.500)
Rh (0.250, 0.750, 0.000)
Rh (0.299, 0.032, 0.500)
Rh (0.331, 0.331, 0.000)
Rh (0.669, 0.669, 0.000)
Rh (0.701, 0.968, 0.500)
Rh (0.750, 0.250, 0.000)
Rh (0.968, 0.701, 0.500)

Entry from the Alexandria database: crystalline NbIr3Rh at its relaxed geometry (PBE).

Properties
The energy of formation comes out at 1.78 eV per atom.

a = 4.721 Å, b = 4.721 Å, c = 4.721 Å
α = 90.00°, β = 90.00°, γ = 90.00°
Element x y z (fractional)
Nb (0.000, 0.000, 0.000)
Ir (0.000, 0.000, 0.500)
Ir (0.000, 0.500, 0.000)
Ir (0.500, 0.000, 0.000)
Rh (0.500, 0.500, 0.500)

Entry from the Alexandria database: crystalline Nb2Ir3Rh3 at its relaxed geometry (PBE).

Properties
The energy of formation comes out at -0.56 eV per atom.

a = 3.915 Å, b = 3.927 Å, c = 7.820 Å
α = 90.00°, β = 90.00°, γ = 90.00°
Element x y z (fractional)
Nb (0.000, 0.000, 0.249)
Nb (0.000, 0.000, 0.751)
Ir (0.000, 0.500, 0.500)
Ir (0.500, 0.000, 0.000)
Ir (0.500, 0.000, 0.500)
Rh (0.000, 0.500, 0.000)
Rh (0.500, 0.500, 0.250)
Rh (0.500, 0.500, 0.750)

Entry from the Alexandria database: crystalline NbIrRh at its relaxed geometry (PBE).

Properties
The energy of formation comes out at -0.44 eV per atom.

a = 4.901 Å, b = 4.445 Å, c = 4.915 Å
α = 90.00°, β = 119.45°, γ = 90.00°
Element x y z (fractional)
Nb (0.192, 0.250, 0.189)
Nb (0.808, 0.750, 0.811)
Ir (0.495, 0.250, 0.835)
Ir (0.505, 0.750, 0.165)
Rh (0.165, 0.750, 0.508)
Rh (0.835, 0.250, 0.492)

Entry from the Alexandria database: crystalline NbIr3Rh at its relaxed geometry (PBE).

Properties
The energy of formation comes out at 1.83 eV per atom.

a = 4.648 Å, b = 4.648 Å, c = 4.648 Å
α = 90.00°, β = 90.00°, γ = 90.00°
Element x y z (fractional)
Nb (0.000, 0.000, 0.000)
Ir (0.000, 0.500, 0.500)
Ir (0.500, 0.000, 0.500)
Ir (0.500, 0.500, 0.000)
Rh (0.500, 0.500, 0.500)

Entry from the Alexandria database: crystalline NbIr2Rh at its relaxed geometry (PBE).

Properties
The energy of formation comes out at 0.09 eV per atom.

a = 9.512 Å, b = 9.512 Å, c = 9.512 Å
α = 156.82°, β = 156.82°, γ = 33.01°
Element x y z (fractional)
Nb (0.000, 0.000, 0.000)
Nb (0.750, 0.250, 0.500)
Ir (0.147, 0.625, 0.022)
Ir (0.375, 0.397, 0.522)
Ir (0.603, 0.125, 0.978)
Ir (0.875, 0.853, 0.478)
Rh (0.250, 0.750, 0.500)
Rh (0.500, 0.500, 0.000)

Entry from the Alexandria database: crystalline Nb2Ir3Rh at its relaxed geometry (PBE).

Properties
The energy of formation comes out at -0.55 eV per atom.

a = 6.369 Å, b = 6.369 Å, c = 3.881 Å
α = 90.00°, β = 90.00°, γ = 143.75°
Element x y z (fractional)
Nb (0.157, 0.843, 0.000)
Nb (0.843, 0.157, 0.000)
Ir (0.000, 0.000, 0.500)
Ir (0.334, 0.666, 0.500)
Ir (0.666, 0.334, 0.500)
Rh (0.500, 0.500, 0.000)

Entry from the Alexandria database: crystalline NbIrRh at its relaxed geometry (PBE).

Properties
The energy of formation comes out at -0.45 eV per atom.

a = 4.431 Å, b = 4.431 Å, c = 5.508 Å
α = 90.00°, β = 90.00°, γ = 120.00°
Element x y z (fractional)
Nb (0.333, 0.667, 0.250)
Nb (0.667, 0.333, 0.750)
Ir (0.000, 0.000, 0.000)
Ir (0.000, 0.000, 0.500)
Rh (0.333, 0.667, 0.750)
Rh (0.667, 0.333, 0.250)

Entry from the Alexandria database: crystalline NbIrRh at its relaxed geometry (PBE).

Properties
The energy of formation comes out at -0.24 eV per atom.

a = 4.412 Å, b = 4.412 Å, c = 2.804 Å
α = 90.00°, β = 90.00°, γ = 120.00°
Element x y z (fractional)
Nb (0.000, 0.000, 0.000)
Ir (0.333, 0.667, 0.500)
Rh (0.667, 0.333, 0.500)

Entry from the Alexandria database: crystalline NbIr3Rh at its relaxed geometry (PBE).

Properties
The energy of formation comes out at 0.18 eV per atom.

a = 6.836 Å, b = 5.081 Å, c = 5.081 Å
α = 79.16°, β = 90.00°, γ = 90.00°
Element x y z (fractional)
Nb (0.000, 0.000, 0.000)
Nb (0.500, 0.000, 0.000)
Ir (0.069, 0.891, 0.523)
Ir (0.250, 0.371, 0.654)
Ir (0.431, 0.891, 0.523)
Ir (0.569, 0.523, 0.891)
Ir (0.750, 0.654, 0.371)
Ir (0.931, 0.523, 0.891)
Rh (0.250, 0.314, 0.183)
Rh (0.750, 0.183, 0.314)

Entry from the Alexandria database: crystalline NbIr3Rh at its relaxed geometry (PBE).

Properties
The energy of formation comes out at 0.74 eV per atom.

a = 5.218 Å, b = 5.218 Å, c = 5.218 Å
α = 60.96°, β = 60.96°, γ = 60.96°
Element x y z (fractional)
Nb (0.000, 0.000, 0.000)
Ir (0.000, 0.500, 0.500)
Ir (0.500, 0.000, 0.500)
Ir (0.500, 0.500, 0.000)
Rh (0.500, 0.500, 0.500)

Entry from the Alexandria database: crystalline Nb3IrRh2 at its relaxed geometry (PBE).

Properties
The energy of formation comes out at -0.46 eV per atom.

a = 2.871 Å, b = 2.871 Å, c = 11.691 Å
α = 90.00°, β = 90.00°, γ = 90.00°
Element x y z (fractional)
Nb (0.000, 0.000, 0.000)
Nb (0.000, 0.000, 0.334)
Nb (0.000, 0.000, 0.666)
Ir (0.500, 0.500, 0.500)
Rh (0.500, 0.500, 0.166)
Rh (0.500, 0.500, 0.834)

Entry from the Alexandria database: crystalline NbIr2Rh3 at its relaxed geometry (PBE).

Properties
The energy of formation comes out at -0.06 eV per atom.

a = 7.219 Å, b = 7.219 Å, c = 5.064 Å
α = 90.00°, β = 90.00°, γ = 135.22°
Element x y z (fractional)
Nb (0.152, 0.848, 0.750)
Nb (0.848, 0.152, 0.250)
Ir (0.257, 0.257, 0.000)
Ir (0.257, 0.257, 0.500)
Ir (0.743, 0.743, 0.000)
Ir (0.743, 0.743, 0.500)
Rh (0.070, 0.425, 0.750)
Rh (0.349, 0.651, 0.250)
Rh (0.425, 0.070, 0.250)
Rh (0.575, 0.930, 0.750)
Rh (0.651, 0.349, 0.750)
Rh (0.930, 0.575, 0.250)

Entry from the Alexandria database: crystalline NbIrRh at its relaxed geometry (PBE).

Properties
The energy of formation comes out at -0.30 eV per atom.

a = 6.234 Å, b = 6.234 Å, c = 6.234 Å
α = 153.93°, β = 153.93°, γ = 37.20°
Element x y z (fractional)
Nb (0.000, 0.000, 0.000)
Ir (0.666, 0.666, 0.000)
Rh (0.331, 0.331, 0.000)

Entry from the Alexandria database: crystalline NbIrRh2 at its relaxed geometry (PBE).

Properties
The energy of formation comes out at -0.05 eV per atom.

a = 4.437 Å, b = 4.437 Å, c = 4.437 Å
α = 60.00°, β = 60.00°, γ = 60.00°
Element x y z (fractional)
Nb (0.000, 0.000, 0.000)
Ir (0.500, 0.500, 0.500)
Rh (0.250, 0.250, 0.250)
Rh (0.750, 0.750, 0.750)

Entry from the Alexandria database: crystalline NbIr4Rh at its relaxed geometry (PBE).

Properties
The energy of formation comes out at -0.35 eV per atom.

a = 6.192 Å, b = 6.192 Å, c = 3.906 Å
α = 90.00°, β = 90.00°, γ = 143.23°
Element x y z (fractional)
Nb (0.000, 0.000, 0.000)
Ir (0.170, 0.830, 0.500)
Ir (0.337, 0.663, 0.000)
Ir (0.663, 0.337, 0.000)
Ir (0.830, 0.170, 0.500)
Rh (0.500, 0.500, 0.500)

Entry from the Alexandria database: crystalline Nb2Ir5Rh at its relaxed geometry (PBE).

Properties
The energy of formation comes out at -0.58 eV per atom.

a = 5.555 Å, b = 11.113 Å, c = 3.922 Å
α = 90.00°, β = 90.00°, γ = 90.00°
Element x y z (fractional)
Nb (0.250, 0.125, 0.000)
Nb (0.250, 0.625, 0.000)
Nb (0.750, 0.375, 0.000)
Nb (0.750, 0.875, 0.000)
Ir (0.000, 0.000, 0.500)
Ir (0.001, 0.249, 0.500)
Ir (0.250, 0.375, 0.000)
Ir (0.250, 0.875, 0.000)
Ir (0.499, 0.749, 0.500)
Ir (0.500, 0.500, 0.500)
Ir (0.501, 0.251, 0.500)
Ir (0.750, 0.125, 0.000)
Ir (0.750, 0.625, 0.000)
Ir (0.999, 0.751, 0.500)
Rh (0.000, 0.500, 0.500)
Rh (0.500, 0.000, 0.500)

Entry from the Alexandria database: crystalline NbIrRh at its relaxed geometry (PBE).

Properties
The energy of formation comes out at -0.23 eV per atom.

a = 4.419 Å, b = 4.419 Å, c = 5.596 Å
α = 90.00°, β = 90.00°, γ = 120.00°
Element x y z (fractional)
Nb (0.000, 0.000, 0.000)
Nb (0.000, 0.000, 0.500)
Ir (0.333, 0.667, 0.250)
Ir (0.667, 0.333, 0.750)
Rh (0.333, 0.667, 0.750)
Rh (0.667, 0.333, 0.250)

Entry from the Alexandria database: crystalline NbIrRuRh at its relaxed geometry (PBE).

Properties
The energy of formation comes out at -0.44 eV per atom.

a = 3.900 Å, b = 3.902 Å, c = 3.934 Å
α = 90.00°, β = 90.00°, γ = 90.00°
Element x y z (fractional)
Nb (0.000, 0.000, 0.000)
Ir (0.500, 0.000, 0.500)
Ru (0.500, 0.500, 0.000)
Rh (0.000, 0.500, 0.500)

Entry from the Alexandria database: crystalline NbVIrRh at its relaxed geometry (PBE).

Properties
The energy of formation comes out at -0.44 eV per atom.

a = 4.721 Å, b = 4.721 Å, c = 4.721 Å
α = 130.11°, β = 130.11°, γ = 73.23°
Element x y z (fractional)
Nb (0.000, 0.000, 0.000)
V (0.500, 0.500, 0.000)
Ir (0.250, 0.750, 0.500)
Rh (0.750, 0.250, 0.500)

Entry from the Alexandria database: crystalline NbIrRhW at its relaxed geometry (PBE).

Properties
The energy of formation comes out at -0.35 eV per atom.

a = 4.826 Å, b = 4.826 Å, c = 4.826 Å
α = 131.17°, β = 131.17°, γ = 71.54°
Element x y z (fractional)
Nb (0.000, 0.000, 0.000)
Ir (0.250, 0.750, 0.500)
Rh (0.750, 0.250, 0.500)
W (0.500, 0.500, 0.000)